Cr2CoOs | PBE | optimized geometry

Lattice parameters (Å, degrees): 4.794 4.794 4.794 144.45 129.23 63.51
Fractional coordinates of all 4 atoms:
Cr: 0.000 0.000 0.000
Cr: 0.778 0.278 0.500
Co: 0.525 0.525 0.000
Os: 0.254 0.754 0.500

Output
Space-group type: No. 44
Total DFT energy (no corrections): -9.234 eV/atom
Fermi-level density of states: 5.094 states/eV/f.u.
Magnetization: 1.687 Bohr magnetons per cell